#w
Density functional theory data (GGA-PBE) for crystalline Dy8HoSc6 at its relaxed geometry.

Unit cell a=9.0327 b=9.0327 c=6.3586 alpha=90.00 beta=90.00 gamma=120.00
Element x y z (fractional)
Dy 0.0379 0.3459 0.3901
Dy 0.3081 0.9621 0.3901
Dy 0.3333 0.6667 0.7197
Dy 0.3459 0.3081 0.6099
Dy 0.6541 0.6919 0.3901
Dy 0.6667 0.3333 0.2803
Dy 0.6919 0.0379 0.6099
Dy 0.9621 0.6541 0.6099
Ho 0.0000 0.0000 0.0000
Sc 0.0688 0.6712 0.0972
Sc 0.3288 0.3976 0.0972
Sc 0.3976 0.0688 0.9028
Sc 0.6024 0.9312 0.0972
Sc 0.6712 0.6024 0.9028
Sc 0.9312 0.3288 0.9028

Calculated values
As for the density of states at the Fermi level: 21.43 states/eV per cell. Its space-group type is P-3.

***

#x
Density functional theory data (GGA-PBE) for crystalline Dy8HoSc6 at its relaxed geometry.

Unit cell a=7.8772 b=7.8772 c=7.8772 alpha=73.02 beta=73.02 gamma=73.02
Element x y z (fractional)
Dy 0.0921 0.0921 0.0921
Dy 0.1379 0.2720 0.5658
Dy 0.2720 0.5658 0.1379
Dy 0.4342 0.8621 0.7280
Dy 0.5658 0.1379 0.2720
Dy 0.7280 0.4342 0.8621
Dy 0.8621 0.7280 0.4342
Dy 0.9079 0.9079 0.9079
Ho 0.5000 0.5000 0.5000
Sc 0.1153 0.5566 0.7900
Sc 0.2100 0.8847 0.4434
Sc 0.4434 0.2100 0.8847
Sc 0.5566 0.7900 0.1153
Sc 0.7900 0.1153 0.5566
Sc 0.8847 0.4434 0.2100

Calculated values
As for the density of states at the Fermi level: 23.23 states/eV per cell. Its space-group type is R-3.

***

Stability ranking, top and bottom: #x is the most stable and #w is the least stable.

***

#w
Density functional theory data (GGA-PBE) for crystalline Dy9HoSc2 at its relaxed geometry.

Unit cell a=11.0224 b=11.0224 c=3.4524 alpha=90.00 beta=90.00 gamma=120.00
Element x y z (fractional)
Dy 0.0000 0.5000 0.0000
Dy 0.1786 0.3571 0.5000
Dy 0.1786 0.8214 0.5000
Dy 0.3571 0.1786 0.5000
Dy 0.5000 0.0000 0.0000
Dy 0.5000 0.5000 0.0000
Dy 0.6429 0.8214 0.5000
Dy 0.8214 0.1786 0.5000
Dy 0.8214 0.6429 0.5000
Ho 0.0000 0.0000 0.0000
Sc 0.3333 0.6667 0.0000
Sc 0.6667 0.3333 0.0000

Calculated values
As for the density of states at the Fermi level: 17.95 states/eV per cell. Its space-group type is P6/mmm.

***

#x
Density functional theory data (GGA-PBE) for crystalline Dy9HoSc2 at its relaxed geometry.

Unit cell a=4.9462 b=4.9462 c=14.8026 alpha=90.00 beta=90.00 gamma=90.00
Element x y z (fractional)
Dy 0.0000 0.0000 0.0000
Dy 0.0000 0.0000 0.3356
Dy 0.0000 0.0000 0.6644
Dy 0.0000 0.5000 0.1706
Dy 0.0000 0.5000 0.5000
Dy 0.0000 0.5000 0.8294
Dy 0.5000 0.0000 0.1706
Dy 0.5000 0.0000 0.5000
Dy 0.5000 0.0000 0.8294
Ho 0.5000 0.5000 0.0000
Sc 0.5000 0.5000 0.3350
Sc 0.5000 0.5000 0.6650

Calculated values
As for the density of states at the Fermi level: 18.22 states/eV per cell. Its space-group type is P4/mmm.

***

Stability ranking, top and bottom: #x is the most stable and #w is the least stable.

***

#w
Density functional theory data (GGA-PBE) for crystalline DyHo2Sc5 at its relaxed geometry.

Unit cell a=6.5446 b=6.5446 c=6.5446 alpha=109.50 beta=109.50 gamma=109.42
Element x y z (fractional)
Dy 0.0000 0.0000 0.0000
Ho 0.4994 0.9994 0.5000
Ho 0.9994 0.4994 0.5000
Sc 0.4990 0.4990 0.0000
Sc 0.4998 0.4998 0.5005
Sc 0.4998 0.9993 0.0000
Sc 0.9993 0.4998 0.0000
Sc 0.9993 0.9993 0.4995

Calculated values
As for the density of states at the Fermi level: 15.57 states/eV per cell. Its space-group type is I4mm.

***

#x
Density functional theory data (GGA-PBE) for crystalline DyHo2Sc5 at its relaxed geometry.

Unit cell a=6.6969 b=6.6969 c=6.6969 alpha=119.30 beta=119.30 gamma=91.21
Element x y z (fractional)
Dy 0.0000 0.0000 0.0000
Ho 0.9995 0.4995 0.5000
Ho 0.4995 0.9995 0.5000
Sc 0.4991 0.4991 0.0000
Sc 0.4998 0.4998 0.5005
Sc 0.4998 0.9993 0.0000
Sc 0.9993 0.4998 0.0000
Sc 0.9993 0.9993 0.4995

Calculated values
As for the density of states at the Fermi level: 15.77 states/eV per cell. Its space-group type is I4mm.

***

Stability ranking, top and bottom: #x is the most stable and #w is the least stable.

***

#w
Density functional theory data (GGA-PBE) for crystalline DyHo4Sc5 at its relaxed geometry.

Unit cell a=7.5090 b=7.5090 c=7.5090 alpha=99.24 beta=99.24 gamma=132.75
Element x y z (fractional)
Dy 0.0000 0.0000 0.0000
Ho 0.1754 0.8810 0.6079
Ho 0.2731 0.5675 0.3921
Ho 0.5675 0.1754 0.2943
Ho 0.8810 0.2731 0.7057
Sc 0.4637 0.4637 0.0000
Sc 0.4896 0.8614 0.9154
Sc 0.5742 0.4896 0.6282
Sc 0.8614 0.9460 0.3718
Sc 0.9460 0.5742 0.0846

Calculated values
As for the density of states at the Fermi level: 16.84 states/eV per cell. Its space-group type is I4.

***

#x
Density functional theory data (GGA-PBE) for crystalline DyHo4Sc5 at its relaxed geometry.

Unit cell a=7.7988 b=7.7988 c=9.6746 alpha=126.66 beta=126.66 gamma=39.96
Element x y z (fractional)
Dy 0.0000 0.0000 0.0000
Ho 0.2472 0.2472 0.8697
Ho 0.2538 0.2538 0.3722
Ho 0.7462 0.7462 0.6278
Ho 0.7528 0.7528 0.1303
Sc 0.0530 0.0530 0.4019
Sc 0.4493 0.4493 0.7893
Sc 0.5000 0.5000 0.5000
Sc 0.5507 0.5507 0.2107
Sc 0.9470 0.9470 0.5981

Calculated values
As for the density of states at the Fermi level: 20.37 states/eV per cell. Its space-group type is C2/m.

***

Stability ranking, top and bottom: #x is the most stable and #w is the least stable.